(1)
Below is crystalline Ba3SrGa3 at its relaxed geometry, with properties calculated at the PBE level.

a = 5.855 Å, b = 5.855 Å, c = 16.657 Å
α = 90.00°, β = 90.00°, γ = 119.93°
Atoms (fractional coordinates):
Ba 0.000 0.000 0.250
Ba 0.000 0.000 0.750
Ba 0.334 0.666 0.614
Ba 0.334 0.666 0.886
Ba 0.666 0.334 0.114
Ba 0.666 0.334 0.386
Sr 0.000 0.000 0.000
Sr 0.000 0.000 0.500
Ga 0.333 0.667 0.097
Ga 0.333 0.667 0.250
Ga 0.333 0.667 0.403
Ga 0.667 0.333 0.597
Ga 0.667 0.333 0.750
Ga 0.667 0.333 0.903

Calculated values
M_tot, μB/atom: 0.000
E_tot, eV for the cell shown: -37.9

***

(2)
Below is crystalline Li4H3Cl4 at its relaxed geometry, with properties calculated at the PBE level.

a = 4.100 Å, b = 4.142 Å, c = 13.513 Å
α = 88.19°, β = 88.58°, γ = 60.53°
Atoms (fractional coordinates):
Li 0.000 0.000 0.000
Li 0.009 0.046 0.596
Li 0.336 0.353 0.835
Li 0.346 0.397 0.429
H 0.591 0.783 0.226
H 0.668 0.676 0.926
H 0.751 0.603 0.208
Cl 0.005 0.018 0.815
Cl 0.016 0.060 0.409
Cl 0.330 0.336 0.027
Cl 0.341 0.382 0.612

Calculated values
M_tot, μB/atom: 0.091
E_tot, eV for the cell shown: -37.2